# SCAN Na3CrPCO7, single point on PBEsol structure
# V in Å³/cell: 310
# Formation energy from raw total energies in eV/atom: -2.149
# Offset from the most stable computed form in eV per atom: 0.025
data_Na3CrPCO7
_chemical_formula_sum 'Na6 Cr2 P2 C2 O14'
_symmetry_space_group_name_H-M 'P 1 21 1'
_symmetry_Int_Tables_number 4
_cell_length_a 5.318
_cell_length_b 6.434
_cell_length_c 9.065
_cell_angle_alpha 90.00
_cell_angle_beta 92.25
_cell_angle_gamma 90.00
loop_
_symmetry_equiv_pos_as_xyz
'x,y,z'
'-x,y+1/2,-z'
loop_
_atom_site_label
_atom_site_type_symbol
_atom_site_fract_x
_atom_site_fract_y
_atom_site_fract_z
Na1 Na 0.002 0.000 0.003
Na2 Na 0.445 0.738 0.180
Na3 Na 0.497 0.014 0.490
Cr1 Cr 0.068 0.257 0.303
P1 P 0.002 0.256 0.638
C1 C 0.498 0.254 0.124
O1 O 0.081 0.565 0.269
O2 O 0.090 0.947 0.272
O3 O 0.146 0.754 0.513
O4 O 0.268 0.751 0.910
O5 O 0.287 0.259 0.620
O6 O 0.320 0.251 0.022
O7 O 0.439 0.260 0.261

***

# SCAN MnRhBr2, single point on PBEsol structure
# V in Å³/cell: 147
# Formation energy from raw total energies in eV/atom: 0.092
# Offset from the most stable computed form in eV per atom: 0.384
data_MnRhBr2
_chemical_formula_sum 'Mn2 Rh2 Br4'
_symmetry_space_group_name_H-M 'I m m m'
_symmetry_Int_Tables_number 71
_symmetry_space_group_name_Hall '-I 2 2'
_cell_length_a 4.035
_cell_length_b 5.285
_cell_length_c 6.874
_cell_angle_alpha 90.00
_cell_angle_beta 90.00
_cell_angle_gamma 90.00
loop_
_atom_site_label
_atom_site_type_symbol
_atom_site_fract_x
_atom_site_fract_y
_atom_site_fract_z
Mn1 Mn 0.000 0.000 0.000
Rh1 Rh 0.000 0.000 0.500
Br1 Br 0.000 0.500 0.234

***

# SCAN CaNiBr, single point on PBEsol structure
# V in Å³/cell: 121
# Formation energy from raw total energies in eV/atom: -0.268
data_CaNiBr
_chemical_formula_sum 'Ca2 Ni2 Br2'
_symmetry_space_group_name_H-M 'I 4 m m'
_symmetry_Int_Tables_number 107
_symmetry_space_group_name_Hall 'I 4 -2'
_cell_length_a 3.390
_cell_length_b 3.390
_cell_length_c 10.524
_cell_angle_alpha 90.00
_cell_angle_beta 90.00
_cell_angle_gamma 90.00
loop_
_atom_site_label
_atom_site_type_symbol
_atom_site_fract_x
_atom_site_fract_y
_atom_site_fract_z
Ca1 Ca 0.000 0.000 0.000
Ni1 Ni 0.000 0.000 0.660
Br1 Br 0.000 0.000 0.319

***

# SCAN Sr2SiIr, single point on PBEsol structure
# V in Å³/cell: 214
# Formation energy from raw total energies in eV/atom: -0.560
data_Sr2SiIr
_chemical_formula_sum 'Sr4 Si2 Ir2'
_symmetry_space_group_name_H-M 'A m m 2'
_symmetry_Int_Tables_number 38
_cell_length_a 4.187
_cell_length_b 4.753
_cell_length_c 10.777
_cell_angle_alpha 90.00
_cell_angle_beta 90.00
_cell_angle_gamma 90.00
loop_
_symmetry_equiv_pos_as_xyz
'x,y,z'
'-x,-y,z'
'-x,y,z'
'x,-y,z'
'x,y+1/2,z+1/2'
'-x,-y+1/2,z+1/2'
'-x,y+1/2,z+1/2'
'x,-y+1/2,z+1/2'
loop_
_atom_site_label
_atom_site_type_symbol
_atom_site_fract_x
_atom_site_fract_y
_atom_site_fract_z
Sr1 Sr 0.000 0.000 0.000
Sr2 Sr 0.500 0.000 0.290
Si1 Si 0.500 0.000 0.599
Ir1 Ir 0.000 0.000 0.692

***

# SCAN BeAgCl2, single point on PBEsol structure
# V in Å³/cell: 176
# Formation energy from raw total energies in eV/atom: -0.502
# Offset from the most stable computed form in eV per atom: 0.019
data_BeAgCl2
_chemical_formula_sum 'Be2 Ag2 Cl4'
_symmetry_space_group_name_H-M 'C 1 m 1'
_symmetry_Int_Tables_number 8
_cell_length_a 10.728
_cell_length_b 2.971
_cell_length_c 6.676
_cell_angle_alpha 90.00
_cell_angle_beta 124.36
_cell_angle_gamma 90.00
loop_
_symmetry_equiv_pos_as_xyz
'x,y,z'
'x,-y,z'
'x+1/2,y+1/2,z'
'x+1/2,-y+1/2,z'
loop_
_atom_site_label
_atom_site_type_symbol
_atom_site_fract_x
_atom_site_fract_y
_atom_site_fract_z
Be1 Be 0.000 0.000 0.000
Ag1 Ag 0.239 0.500 0.179
Cl1 Cl 0.416 0.000 0.729
Cl2 Cl 0.475 0.000 0.225

***

# SCAN CrCoN2, single point on PBEsol structure
# V in Å³/cell: 107
# Formation energy from raw total energies in eV/atom: 0.019
# Offset from the most stable computed form in eV per atom: 0.399
data_CrCoN2
_chemical_formula_sum 'Cr3 Co3 N6'
_symmetry_space_group_name_H-M 'R -3 m'
_symmetry_Int_Tables_number 166
_symmetry_space_group_name_Hall '-R 3 2"'
_cell_length_a 2.6453
_cell_length_b 2.6453
_cell_length_c 17.7277
_cell_angle_alpha 90.00
_cell_angle_beta 90.00
_cell_angle_gamma 120.00
loop_
_atom_site_label
_atom_site_type_symbol
_atom_site_fract_x
_atom_site_fract_y
_atom_site_fract_z
Cr1 Cr 0.0000 0.0000 0.0000
Co1 Co 0.0000 0.0000 0.5000
N1 N 0.0000 0.0000 0.3997

***

# SCAN TaCuAs2, single point on PBEsol structure
# V in Å³/cell: 128
# Calculated formation energy in eV per atom: 0.157
data_TaCuAs2
_chemical_formula_sum 'Ta2 Cu2 As4'
_symmetry_space_group_name_H-M 'C 1 2/m 1'
_symmetry_Int_Tables_number 12
_cell_length_a 8.971
_cell_length_b 2.847
_cell_length_c 5.008
_cell_angle_alpha 90.00
_cell_angle_beta 93.91
_cell_angle_gamma 90.00
loop_
_symmetry_equiv_pos_as_xyz
'x,y,z'
'-x,-y,-z'
'-x,y,-z'
'x,-y,z'
'x+1/2,y+1/2,z'
'-x+1/2,-y+1/2,-z'
'-x+1/2,y+1/2,-z'
'x+1/2,-y+1/2,z'
loop_
_atom_site_label
_atom_site_type_symbol
_atom_site_fract_x
_atom_site_fract_y
_atom_site_fract_z
Ta1 Ta 0.000 0.000 0.000
Cu1 Cu 0.000 0.500 0.500
As1 As 0.230 0.500 0.241

***

# SCAN Ag2HPb2, single point on PBEsol structure
# Electronic total energy in eV per atom: -43.232
# V in Å³/cell: 209
data_Ag2HPb2
_chemical_formula_sum 'Ag4 H2 Pb4'
_symmetry_space_group_name_H-M 'I 4/m m m'
_symmetry_Int_Tables_number 139
_symmetry_space_group_name_Hall '-I 4 2'
_cell_length_a 5.780
_cell_length_b 5.780
_cell_length_c 6.250
_cell_angle_alpha 90.00
_cell_angle_beta 90.00
_cell_angle_gamma 90.00
loop_
_atom_site_label
_atom_site_type_symbol
_atom_site_fract_x
_atom_site_fract_y
_atom_site_fract_z
Ag1 Ag 0.000 0.000 0.214
H1 H 0.000 0.000 0.500
Pb1 Pb 0.000 0.500 0.250